(1)
Entry from the Alexandria database: an optimized crystal structure of Sb2Pd5Pt (PBE-GGA).

Unit cell a=4.054 b=5.745 c=11.502 alpha=90.00 beta=90.00 gamma=90.00
Positions (direct):
Sb: 0.500 0.751 0.375
Pt: 0.000 0.000 0.500
Pt: 0.000 0.500 0.000
Pd: 0.500 0.251 0.374
Pd: 0.500 0.749 0.626
Pd: 0.500 0.751 0.126
Pd: 0.500 0.249 0.874
Pd: 0.000 0.501 0.751
Pd: 0.000 0.999 0.251
Sb: 0.500 0.249 0.625
Pd: 0.000 0.001 0.749
Pd: 0.000 0.500 0.500
Pd: 0.000 0.499 0.249
Pd: 0.000 0.000 0.000
Sb: 0.500 0.749 0.875
Sb: 0.500 0.251 0.125

## Properties
As for the space-group type: Pbam (55). Its energy is -5.3669 eV/atom. Its total magnetization is 0.0 μB per formula unit. Its distance to the lowest polymorph of the same formula is 0.0 meV per atom. Its calculated volume is 16.7 Å³ per atom. For the formation energy from raw total energies, the calculation gives -0.34 eV per atom.



(2)
Entry from the Alexandria database: an optimized crystal structure of NaSnBi (PBE-GGA).

Unit cell a=5.316 b=5.316 c=5.316 alpha=60.00 beta=60.00 gamma=60.00
Positions (direct):
Na: 0.000 0.000 0.000
Sn: 0.500 0.500 0.500
Bi: 0.250 0.250 0.250

## Properties
As for the space-group type: F-43m (216). Its energy is -3.1548 eV/atom. Its total magnetization is 0.0 μB per formula unit. Its calculated volume is 35.4 Å³ per atom. As for the formation energy: -87 meV per atom.



(3)
Entry from the Alexandria database: an optimized crystal structure of Li6Bi4Pb (PBE-GGA).

Unit cell a=9.039 b=9.039 c=9.039 alpha=54.20 beta=142.42 gamma=142.42
Positions (direct):
Bi: 0.398 0.827 0.827
Li: 0.587 0.606 0.606
Li: 0.500 0.500 0.000
Li: 0.500 0.000 0.500
Li: 0.000 0.394 0.981
Bi: 0.602 0.430 0.430
Bi: 0.000 0.173 0.570
Li: 0.000 0.981 0.394
Bi: 0.000 0.570 0.173
Pb: 0.000 0.000 0.000
Li: 0.413 0.019 0.019

## Properties
As for the space-group type: I-42m (121). Its energy is -3.0703 eV/atom. Its total magnetization is 0.0 μB per formula unit. Its calculated volume is 24.8 Å³ per atom. As for the formation energy: -278 meV per atom.



(4)
Entry from the Alexandria database: an optimized crystal structure of KNa2GaO3 (PBE-GGA).

Unit cell a=6.239 b=6.566 c=10.347 alpha=90.00 beta=90.00 gamma=90.00
Positions (direct):
Na: 0.493 0.492 0.731
O: 0.250 0.714 0.170
Na: 0.507 0.008 0.231
Na: 0.007 0.992 0.769
K: 0.250 0.841 0.474
Na: 0.493 0.992 0.769
K: 0.250 0.341 0.026
Ga: 0.750 0.170 0.992
O: 0.750 0.286 0.830
O: 0.750 0.325 0.141
O: 0.250 0.214 0.330
O: 0.500 0.500 0.500
Na: 0.007 0.492 0.731
Na: 0.507 0.508 0.269
Ga: 0.250 0.830 0.008
O: 0.250 0.675 0.859
O: 0.250 0.175 0.641
O: 0.500 0.000 0.000
O: 0.000 0.000 0.000
K: 0.750 0.159 0.526
Ga: 0.250 0.330 0.492
K: 0.750 0.659 0.974
Ga: 0.750 0.670 0.508
Na: 0.993 0.008 0.231
Na: 0.993 0.508 0.269
O: 0.750 0.786 0.670
O: 0.750 0.825 0.359
O: 0.000 0.500 0.500

## Properties
As for the space-group type: Pnma (62). Its energy is -4.7290 eV/atom. Its total magnetization is 0.0 μB per formula unit. Its calculated volume is 15.1 Å³ per atom. For the formation energy from raw total energies, the calculation gives -1.64 eV per atom.



(5)
Entry from the Alexandria database: an optimized crystal structure of La5PN8 (PBE-GGA).

Unit cell a=7.050 b=7.050 c=7.050 alpha=118.12 beta=93.29 gamma=118.12
Last column: magnetic moment on the atom in μB.
Positions (direct):
La: 0.860 0.796 0.180  0.01
N: 0.611 0.695 0.356  0.02
N: 0.644 0.255 0.338  0.02
N: 0.159 0.693 0.841  0.37
N: 0.083 0.745 0.389  0.02
P: 0.250 0.500 0.750  -0.03
N: 0.662 0.305 0.917  0.02
N: 0.533 0.681 0.841  0.37
La: 0.500 0.000 0.500  0.00
N: 0.148 0.307 0.467  0.37
N: 0.159 0.319 0.852  0.37
La: 0.384 0.204 0.064  0.01
La: 0.936 0.320 0.140  0.01
La: 0.820 0.680 0.616  0.01

## Properties
As for the space-group type: I-4 (82). Its energy is -7.5562 eV/atom. Its total magnetization is 2.2 μB per formula unit. Its calculated volume is 18.2 Å³ per atom. For the formation energy from raw total energies, the calculation gives -0.65 eV per atom.



(6)
Entry from the Alexandria database: an optimized crystal structure of LiCo (PBE-GGA).

Unit cell a=9.010 b=9.010 c=9.010 alpha=16.18 beta=16.18 gamma=16.18
Last column: magnetic moment on the atom in μB.
Positions (direct):
Co: 0.005 0.005 0.005  1.54
Li: 0.257 0.257 0.257  -0.04
Co: 0.745 0.745 0.745  1.54
Li: 0.493 0.493 0.493  -0.04

## Properties
As for the space-group type: R-3m (166). Its energy is -4.3858 eV/atom. Its total magnetization is 1.4 μB per formula unit. Its calculated volume is 12.4 Å³ per atom. As for the formation energy: 124 meV per atom.



(7)
Entry from the Alexandria database: an optimized crystal structure of NiIr2Br (PBE-GGA).

Unit cell a=4.572 b=4.572 c=2.855 alpha=90.00 beta=90.00 gamma=90.00
Positions (direct):
Ni: 0.500 0.000 0.500
Ir: 0.500 0.500 0.000
Ir: 0.000 0.000 0.000
Br: 0.000 0.500 0.500

## Properties
As for the space-group type: P4/mmm (123). Its energy is -5.2855 eV/atom. Its total magnetization is 0.0 μB per formula unit. Its distance to the lowest polymorph of the same formula is 539.6 meV per atom. Its calculated volume is 14.9 Å³ per atom. For the formation energy from raw total energies, the calculation gives 1.01 eV per atom.



(8)
Entry from the Alexandria database: an optimized crystal structure of Ac6AuSe5 (PBE-GGA).

Unit cell a=7.798 b=7.798 c=7.786 alpha=99.64 beta=99.64 gamma=119.90
Positions (direct):
Ac: 0.752 0.752 0.250
Ac: 0.918 0.587 0.752
Se: 0.666 0.334 0.000
Ac: 0.413 0.082 0.248
Se: 0.170 0.830 0.500
Au: 0.000 0.000 0.000
Se: 0.830 0.170 0.500
Ac: 0.082 0.413 0.248
Se: 0.500 0.500 0.500
Ac: 0.248 0.248 0.750
Ac: 0.587 0.918 0.752
Se: 0.334 0.666 0.000

## Properties
As for the space-group type: C2/m (12). Its energy is -5.4651 eV/atom. Its total magnetization is 0.0 μB per formula unit. Its calculated volume is 32.2 Å³ per atom. For the formation energy from raw total energies, the calculation gives -1.69 eV per atom.



(9)
Entry from the Alexandria database: an optimized crystal structure of Tl5Rh (PBE-GGA).

Unit cell a=4.616 b=3.262 c=11.601 alpha=98.08 beta=90.00 gamma=90.00
Positions (direct):
Tl: 0.000 0.393 0.786
Tl: 0.500 0.186 0.373
Tl: 0.500 0.500 0.000
Tl: 0.000 0.607 0.214
Tl: 0.500 0.814 0.627
Rh: 0.000 0.000 0.000

## Properties
As for the space-group type: Cmmm (65). Its energy is -3.1053 eV/atom. Its total magnetization is 0.0 μB per formula unit. Its distance to the lowest polymorph of the same formula is 6.6 meV per atom. Its calculated volume is 28.8 Å³ per atom. As for the formation energy: 92 meV per atom.



(10)
Entry from the Alexandria database: an optimized crystal structure of Ac5Re2O12 (PBE-GGA).

Unit cell a=5.925 b=7.392 c=8.291 alpha=106.26 beta=90.00 gamma=113.63
Last column: magnetic moment on the atom in μB.
Positions (direct):
O: 0.604 0.694 0.926  0.03
Ac: 0.313 0.626 0.648  0.00
O: 0.593 0.687 0.420  0.00
O: 0.499 0.999 0.844  0.00
O: 0.001 0.002 0.191  -0.01
Re: 0.790 0.000 0.000  0.21
Ac: 0.687 0.374 0.352  0.00
Ac: 0.685 0.369 0.833  0.00
O: 0.396 0.306 0.074  0.03
Ac: 0.000 0.000 0.500  0.00
O: 0.407 0.313 0.580  0.00
O: 0.906 0.313 0.580  0.00
Re: 0.210 0.000 0.000  0.21
O: 0.999 0.998 0.809  -0.01
O: 0.090 0.694 0.926  0.03
O: 0.094 0.687 0.420  0.00
O: 0.501 0.001 0.156  0.00
O: 0.910 0.306 0.074  0.03
Ac: 0.315 0.631 0.167  0.00

## Properties
As for the space-group type: C2/m (12). Its energy is -8.3069 eV/atom. Its total magnetization is 0.6 μB per formula unit. Its calculated volume is 16.7 Å³ per atom. For the formation energy from raw total energies, the calculation gives -2.78 eV per atom.



(11)
Entry from the Alexandria database: an optimized crystal structure of Ba2Mg4BiPb3 (PBE-GGA).

Unit cell a=5.090 b=5.090 c=12.199 alpha=90.00 beta=90.00 gamma=90.00
Positions (direct):
Ba: 0.000 0.500 0.749
Pb: 0.000 0.500 0.133
Pb: 0.500 0.000 0.867
Mg: 0.000 0.500 0.367
Mg: 0.000 0.000 0.000
Mg: 0.500 0.500 0.000
Ba: 0.500 0.000 0.251
Bi: 0.500 0.500 0.500
Pb: 0.000 0.000 0.500
Mg: 0.500 0.000 0.633

## Properties
As for the space-group type: P-4m2 (115). Its energy is -2.9359 eV/atom. Its total magnetization is 0.0 μB per formula unit. Its calculated volume is 31.6 Å³ per atom. As for the formation energy: -413 meV per atom.



(12)
Entry from the Alexandria database: an optimized crystal structure of SrNi2Os (PBE-GGA).

Unit cell a=4.729 b=4.729 c=4.729 alpha=126.84 beta=113.40 gamma=90.19
Last column: magnetic moment on the atom in μB.
Positions (direct):
Ni: 0.562 0.562 0.000  0.47
Os: 0.750 0.250 0.500  0.99
Sr: 0.250 0.750 0.500  -0.02
Ni: 0.938 0.938 0.000  0.47

## Properties
As for the space-group type: Immm (71). Its energy is -5.4527 eV/atom. Its total magnetization is 1.9 μB per formula unit. Its distance to the lowest polymorph of the same formula is 569.9 meV per atom. Its calculated volume is 18.3 Å³ per atom. As for the formation energy: 666 meV per atom.



Please write out number 3 again, unchanged.
Entry from the Alexandria database: an optimized crystal structure of Li6Bi4Pb (PBE-GGA).

Unit cell a=9.039 b=9.039 c=9.039 alpha=54.20 beta=142.42 gamma=142.42
Positions (direct):
Bi: 0.398 0.827 0.827
Li: 0.587 0.606 0.606
Li: 0.500 0.500 0.000
Li: 0.500 0.000 0.500
Li: 0.000 0.394 0.981
Bi: 0.602 0.430 0.430
Bi: 0.000 0.173 0.570
Li: 0.000 0.981 0.394
Bi: 0.000 0.570 0.173
Pb: 0.000 0.000 0.000
Li: 0.413 0.019 0.019

## Properties
As for the space-group type: I-42m (121). Its energy is -3.0703 eV/atom. Its total magnetization is 0.0 μB per formula unit. Its calculated volume is 24.8 Å³ per atom. As for the formation energy: -278 meV per atom.



> Which value of calculated volume does entry 5 give?

18.2 Å³ per atom